Computed, not measured: an optimized crystal structure of SrCdBr3 at the PBE-GGA level of DFT.

Cell lengths 5.602, 5.602, 5.602 Å; angles 90.00, 90.00, 90.00 degrees
Sites, in units of the cell vectors:
Sr 0.500 0.500 0.500
Br 0.000 0.500 0.000
Br 0.000 0.000 0.500
Br 0.500 0.000 0.000
Cd 0.000 0.000 0.000

Results
- Relative energy among the computed polymorphs: 0.556 eV per formula unit
- Theoretical density: 4.15 g/cm3
- Size of the total moment: 0.000 μB/f.u.
- Uncorrected energy: -2.52 eV per atom
- DOS at the Fermi energy: 1.7 states/eV/cell
- ΔE_f (raw): -1000 meV/atom